No. 1
# PmTc3O12

A relaxed PmTc3O12 crystal (PBE, Alexandria).

Lattice parameters (Å, degrees): 10.4095 10.4095 10.4095 50.93 50.93 50.93
Last column: nearest neighbours and their distance in Å.
Fractional coordinates of all 32 atoms:
Pm (0.0000, 0.0000, 0.0000)  9 O 2.39-2.62
Pm (0.5000, 0.5000, 0.5000)  9 O 2.39-2.62
Tc (0.1371, 0.7807, 0.4035)  4 O 1.71-1.76
Tc (0.2807, 0.6371, 0.9035)  4 O 1.71-1.76
Tc (0.4035, 0.1371, 0.7807)  4 O 1.71-1.76
Tc (0.6371, 0.9035, 0.2807)  4 O 1.71-1.76
Tc (0.7807, 0.4035, 0.1371)  4 O 1.71-1.76
Tc (0.9035, 0.2807, 0.6371)  4 O 1.71-1.76
O (0.0264, 0.3956, 0.4304)  1 Tc 1.71
O (0.0333, 0.0496, 0.7088)  1 Tc 1.76
O (0.0496, 0.7088, 0.0333)  1 Tc 1.76
O (0.1376, 0.8336, 0.2055)  1 Tc 1.76
O (0.2055, 0.1376, 0.8336)  1 Tc 1.76
O (0.2088, 0.5496, 0.5333)  1 Tc 1.76
O (0.3001, 0.8308, 0.3520)  1 Tc 1.75
O (0.3308, 0.8001, 0.8520)  1 Tc 1.75
O (0.3336, 0.6376, 0.7055)  1 Tc 1.76
O (0.3520, 0.3001, 0.8308)  1 Tc 1.75
O (0.3956, 0.4304, 0.0264)  1 Tc 1.71
O (0.4304, 0.0264, 0.3956)  1 Tc 1.71
O (0.5264, 0.9304, 0.8956)  1 Tc 1.71
O (0.5333, 0.2088, 0.5496)  1 Tc 1.76
O (0.5496, 0.5333, 0.2088)  1 Tc 1.76
O (0.6376, 0.7055, 0.3336)  1 Tc 1.76
O (0.7055, 0.3336, 0.6376)  1 Tc 1.76
O (0.7088, 0.0333, 0.0496)  1 Tc 1.76
O (0.8001, 0.8520, 0.3308)  1 Tc 1.75
O (0.8308, 0.3520, 0.3001)  1 Tc 1.75
O (0.8336, 0.2055, 0.1376)  1 Tc 1.76
O (0.8520, 0.3308, 0.8001)  1 Tc 1.75
O (0.8956, 0.5264, 0.9304)  1 Tc 1.71
O (0.9304, 0.8956, 0.5264)  1 Tc 1.71

Calculated values
- Raw formation energy: -1694 meV/atom
- Total moment: 0.000 μB per cell

---

No. 2
# BaAsI2N

A relaxed BaAsI2N crystal (PBE, Alexandria).

Lattice parameters (Å, degrees): 6.2980 6.2980 3.8484 90.00 90.00 90.00
Last column: nearest neighbours and their distance in Å.
Fractional coordinates of all 5 atoms:
Ba (0.0000, 0.0000, 0.0000)  8 I 3.69, 2 Ba 3.85
As (0.5000, 0.5000, 0.5000)  2 N 1.92
I (0.0000, 0.5000, 0.5000)  2 As 3.15
I (0.5000, 0.0000, 0.5000)  2 As 3.15
N (0.5000, 0.5000, 0.0000)  2 As 1.92

Calculated values
- Raw formation energy: -197 meV/atom
- Excess energy over the best structure of this formula in the dataset: 0.00 eV/f.u.
- Total moment: 0.167 μB per cell

---

No. 3
# Nd4HgBi3

A relaxed Nd4HgBi3 crystal (PBE, Alexandria).

Lattice parameters (Å, degrees): 6.4825 6.4825 6.4825 90.00 90.00 90.00
Last column: nearest neighbours and their distance in Å.
Fractional coordinates of all 8 atoms:
Nd (0.0000, 0.0000, 0.0000)  6 Bi 3.24
Nd (0.0000, 0.5000, 0.5000)  2 Hg 3.24, 4 Bi 3.24
Nd (0.5000, 0.0000, 0.5000)  2 Hg 3.24, 4 Bi 3.24
Nd (0.5000, 0.5000, 0.0000)  2 Hg 3.24, 4 Bi 3.24
Hg (0.5000, 0.5000, 0.5000)  6 Nd 3.24
Bi (0.0000, 0.0000, 0.5000)  6 Nd 3.24
Bi (0.0000, 0.5000, 0.0000)  6 Nd 3.24
Bi (0.5000, 0.0000, 0.0000)  6 Nd 3.24

Calculated values
- Formation energy: -0.735 eV/atom
- Total moment: 0.487 μB per cell